1.
Cs3Rb7Pd (PBE, relaxed); space group = Cm (8); total magnetization = 0.00 μB per cell; E_tot = -1.27 eV per atom; calculated volume = 983.5 Å³/f.u.
1.0
8.1356 -1.0008 3.4728
-2.8444 7.6876 3.4728
-2.4785 -3.1323 13.2211
Rb Cs Pd
7 3 1
direct
0.7101 0.0572 0.2010 Rb
0.9539 0.3106 0.8511 Rb
0.0572 0.7101 0.2010 Rb
0.2744 0.2744 0.0872 Rb
0.4633 0.4633 0.3533 Rb
0.3106 0.9539 0.8511 Rb
0.7502 0.7502 0.9617 Rb
0.5542 0.5542 0.6820 Cs
0.8419 0.1952 0.5193 Cs
0.1952 0.8419 0.5193 Cs
0.0141 0.0141 0.0231 Pd


2.
Cs3Rb4Pd (PBE, relaxed); space group = Pmmn (59); total magnetization = 0.00 μB per cell; E_tot = -1.38 eV per atom; calculated volume = 642.9 Å³/f.u.
1.0
9.4872 0.0000 0.0000
0.0000 8.6908 0.0000
0.0000 0.0000 15.5937
Rb Cs Pd
8 6 2
direct
0.3948 0.5000 0.1385 Rb
0.6052 0.0000 0.6385 Rb
0.9741 0.7500 0.0000 Rb
0.6052 0.0000 0.3615 Rb
0.0259 0.2500 0.5000 Rb
0.0259 0.7500 0.5000 Rb
0.3948 0.5000 0.8615 Rb
0.9741 0.2500 0.0000 Rb
0.8174 0.5000 0.2245 Cs
0.1826 0.0000 0.2755 Cs
0.5454 0.0000 0.0000 Cs
0.8174 0.5000 0.7755 Cs
0.4546 0.5000 0.5000 Cs
0.1826 0.0000 0.7245 Cs
0.6943 0.5000 0.0000 Pd
0.3057 0.0000 0.5000 Pd


3.
Cs6RbPd (PBE, relaxed); space group = C2/m (12); total magnetization = 0.00 μB per cell; E_tot = -1.37 eV per atom; calculated volume = 774.0 Å³/f.u.
1.0
4.9962 9.1761 0.3126
-4.9962 9.1761 0.3126
0.0000 6.5643 8.6645
Cs Pd Rb
6 1 1
direct
0.5845 0.0926 0.6047 Cs
0.0926 0.5845 0.6047 Cs
0.5759 0.5759 0.1211 Cs
0.9074 0.4155 0.3953 Cs
0.4155 0.9074 0.3953 Cs
0.4241 0.4241 0.8789 Cs
0.5000 0.5000 0.5000 Pd
0.0000 0.0000 0.0000 Rb


4.
Cs4Rb7Pd (PBE, relaxed); space group = C2/m (12); total magnetization = 0.00 μB per cell; E_tot = -1.25 eV per atom; calculated volume = 1054.2 Å³/f.u.
1.0
6.9787 0.0000 0.0000
-3.4894 8.1093 -1.9283
0.0000 -0.2776 18.6943
Rb Cs Pd
7 4 1
direct
0.7947 0.5894 0.9205 Rb
0.2053 0.4106 0.0795 Rb
0.5898 0.1796 0.6330 Rb
0.1338 0.2676 0.4562 Rb
0.8662 0.7324 0.5438 Rb
0.4102 0.8204 0.3670 Rb
0.5000 0.0000 0.0000 Rb
0.3151 0.6302 0.7258 Cs
0.0479 0.0957 0.8333 Cs
0.6849 0.3698 0.2742 Cs
0.9521 0.9043 0.1667 Cs
0.0000 0.0000 0.0000 Pd


5.
Cs2RbPd (PBE, relaxed); space group = Fm-3m (225); total magnetization = 0.00 μB per cell; E_tot = -1.72 eV per atom; calculated volume = 196.7 Å³/f.u.
1.0
-6.4853 -0.1064 -0.7407
-3.8816 1.6695 4.9764
-3.3535 5.5972 -0.2114
Pd Rb Cs
1 1 2
direct
0.5000 0.5000 0.5000 Pd
0.0000 0.0000 0.0000 Rb
0.2500 0.2500 0.2500 Cs
0.7500 0.7500 0.7500 Cs


6.
Cs6Rb12Pd (PBE, relaxed); space group = R-3m (166); total magnetization = 0.00 μB per cell; E_tot = -1.14 eV per atom; calculated volume = 1713.2 Å³/f.u.
1.0
-2.1820 -11.7583 -2.3685
11.2666 -4.6571 0.0587
0.5796 -4.9070 11.1451
Rb Cs Pd
12 6 1
direct
0.4729 0.4729 0.8057 Rb
0.5271 0.5271 0.1943 Rb
0.8572 0.8572 0.5332 Rb
0.5332 0.8572 0.8572 Rb
0.1428 0.1428 0.4668 Rb
0.1943 0.5271 0.5271 Rb
0.4668 0.1428 0.1428 Rb
0.5271 0.1943 0.5271 Rb
0.1428 0.4668 0.1428 Rb
0.8572 0.5332 0.8572 Rb
0.8057 0.4729 0.4729 Rb
0.4729 0.8057 0.4729 Rb
0.8666 0.1870 0.1870 Cs
0.1334 0.8130 0.8130 Cs
0.1870 0.1870 0.8666 Cs
0.8130 0.8130 0.1334 Cs
0.1870 0.8666 0.1870 Cs
0.8130 0.1334 0.8130 Cs
0.0000 0.0000 0.0000 Pd


| no. | density of states at the Fermi level (states/eV/atom) |
| --- | --- |
| 1 | 0.83 |
| 2 | 0.78 |
| 3 | 0.84 |
| 4 | 0.88 |
| 5 | 1.33 |
| 6 | 0.93 |